VASP calculation (PBEsol) on an optimized crystal structure of SrMg2Fe.

```
SrMg2Fe
1.0
3.232 0.000 0.000
0.000 5.262 0.000
0.000 0.000 11.064
Sr Mg Fe
2 4 2
direct
0.000 0.000 0.000
0.500 0.500 0.500
0.000 0.500 0.202
0.000 0.500 0.798
0.500 0.000 0.298
0.500 0.000 0.702
0.000 0.000 0.500
0.500 0.500 0.000
```



VASP calculation (PBEsol) on an optimized crystal structure of SrMgFe2.

```
SrMgFe2
1.0
3.191 0.000 0.000
0.000 3.191 0.000
0.000 0.000 7.759
Sr Mg Fe
1 1 2
direct
0.000 0.000 0.000
0.500 0.500 0.370
0.000 0.000 0.597
0.500 0.500 0.709
```



VASP calculation (PBEsol) on an optimized crystal structure of SrMg2Fe.

```
SrMg2Fe
1.0
3.281 0.000 0.000
-1.640 2.841 0.000
0.000 0.000 30.044
Sr Mg Fe
3 6 3
direct
0.000 0.000 0.000
0.333 0.667 0.667
0.667 0.333 0.333
0.000 0.000 0.233
0.000 0.000 0.767
0.333 0.667 0.434
0.333 0.667 0.900
0.667 0.333 0.100
0.667 0.333 0.566
0.000 0.000 0.500
0.333 0.667 0.167
0.667 0.333 0.833
```



VASP calculation (PBEsol) on an optimized crystal structure of Sr2MgFe.

```
Sr2MgFe
1.0
4.869 0.000 0.000
0.000 4.869 0.000
0.000 0.000 9.702
Sr Mg Fe
4 2 2
direct
0.000 0.000 0.000
0.000 0.500 0.250
0.500 0.000 0.750
0.500 0.500 0.500
0.000 0.500 0.750
0.500 0.000 0.250
0.000 0.000 0.500
0.500 0.500 0.000
```



So what do the calculations give for E_form? Going down the list: 0.39; 0.39; 0.56; 0.61 eV/atom.
So what do the calculations give for density? Going down the list: 3.391; 4.701; 3.416; 3.687 g/cm3.